[1]
First-principles (GGA-PBE) data for Os3Se after structural relaxation, as listed in Alexandria via LeMat-Bulk.

Values from the calculation:
**Space group**: Pm-3m (221)
**Energy relative to the elements, uncorrected**: 102 kJ/mol of atoms
**E above lowest polymorph**: 523 meV/atom

a b c (Å): 3.9233 3.9233 3.9233
angles (deg): 90.00 90.00 90.00
Fractional positions:
Os 0.0000 0.0000 0.5000
Os 0.0000 0.5000 0.0000
Os 0.5000 0.0000 0.0000
Se 0.5000 0.5000 0.5000

=====

[2]
First-principles (GGA-PBE) data for Sr2Li12AlZn3 after structural relaxation, as listed in Alexandria via LeMat-Bulk.

Values from the calculation:
**Space group**: R-3m (166)
**Formation energy**: 0.70 eV/f.u.

a b c (Å): 7.3372 7.3372 7.3372
angles (deg): 86.16 86.16 86.16
Fractional positions:
Sr 0.2492 0.2492 0.2492
Sr 0.7508 0.7508 0.7508
Li 0.0778 0.0778 0.6540
Li 0.0778 0.6540 0.0778
Li 0.2302 0.6859 0.6859
Li 0.3141 0.3141 0.7698
Li 0.3141 0.7698 0.3141
Li 0.3460 0.9222 0.9222
Li 0.6540 0.0778 0.0778
Li 0.6859 0.2302 0.6859
Li 0.6859 0.6859 0.2302
Li 0.7698 0.3141 0.3141
Li 0.9222 0.3460 0.9222
Li 0.9222 0.9222 0.3460
Al 0.5000 0.5000 0.5000
Zn 0.0000 0.5000 0.5000
Zn 0.5000 0.0000 0.5000
Zn 0.5000 0.5000 0.0000

=====

[3]
First-principles (GGA-PBE) data for RbLaTl2 after structural relaxation, as listed in Alexandria via LeMat-Bulk.

Values from the calculation:
**Space group**: Fm-3m (225)
**E above lowest polymorph**: 151 meV/atom
**Formation energy**: -0.26 eV/f.u.

a b c (Å): 5.8432 5.8432 5.8432
angles (deg): 60.00 60.00 60.00
Fractional positions:
Rb 0.0000 0.0000 0.0000
La 0.5000 0.5000 0.5000
Tl 0.2500 0.2500 0.2500
Tl 0.7500 0.7500 0.7500

=====

no.,size of the total moment (μB/f.u.),Fermi-level density of states (states/eV/atom)
1,0.00,1.444
2,0.00,0.721
3,0.00,0.157